[1]
First-principles (PBE) data for a geometry-optimized Tm5OsPd2 structure, as listed in Alexandria. Values from VASP.

Quantum ESPRESSO input file:
```
&SYSTEM
  ibrav = 0, nat = 16, ntyp = 3
/
ATOMIC_SPECIES
Tm 168.93 Tm.upf
Os 190.23 Os.upf
Pd 106.42 Pd.upf
CELL_PARAMETERS angstrom
6.431 0.000 -3.036
-1.433 6.270 -3.036
0.248 0.311 8.856
ATOMIC_POSITIONS crystal
Tm 0.826 0.978 0.303
Tm 0.000 0.000 0.000
Tm 0.674 0.174 0.697
Os 0.750 0.750 0.500
Tm 0.500 0.500 0.000
Pd 0.368 0.868 0.000
Pd 0.632 0.132 0.000
Os 0.250 0.250 0.500
Tm 0.522 0.674 0.697
Pd 0.868 0.632 0.000
Tm 0.978 0.478 0.303
Tm 0.174 0.022 0.697
Tm 0.326 0.826 0.303
Tm 0.478 0.326 0.303
Tm 0.022 0.522 0.697
Pd 0.132 0.368 0.000
```

The value obtained for the total DFT energy (no corrections) is -6.0922 eV/atom.

---

[2]
First-principles (PBE) data for a geometry-optimized Tm4OsPd2 structure, as listed in Alexandria. Values from VASP.

Quantum ESPRESSO input file:
```
&SYSTEM
  ibrav = 0, nat = 7, ntyp = 3
/
ATOMIC_SPECIES
Tm 168.93 Tm.upf
Os 190.23 Os.upf
Pd 106.42 Pd.upf
CELL_PARAMETERS angstrom
-4.053 0.366 -2.563
-0.915 -3.152 -3.515
-5.365 -5.641 3.165
ATOMIC_POSITIONS crystal
Tm 0.122 0.122 0.634
Os 0.000 0.000 0.000
Tm 0.373 0.373 0.881
Pd 0.751 0.751 0.748
Tm 0.878 0.878 0.366
Tm 0.627 0.627 0.119
Pd 0.249 0.249 0.252
```

The value obtained for the total DFT energy (no corrections) is -6.2731 eV/atom.

---

[3]
First-principles (PBE) data for a geometry-optimized Tm2OsPd structure, as listed in Alexandria. Values from VASP.

Quantum ESPRESSO input file:
```
&SYSTEM
  ibrav = 0, nat = 4, ntyp = 3
/
ATOMIC_SPECIES
Os 190.23 Os.upf
Tm 168.93 Tm.upf
Pd 106.42 Pd.upf
CELL_PARAMETERS angstrom
4.808 0.000 0.000
2.404 4.164 0.000
2.404 1.388 3.926
ATOMIC_POSITIONS crystal
Os 0.500 0.500 0.500
Tm 0.250 0.250 0.250
Tm 0.750 0.750 0.750
Pd 0.000 0.000 0.000
```

The relative energy among the computed polymorphs is 0.11 eV/f.u.

---

[4]
First-principles (PBE) data for a geometry-optimized Tm8OsPd2 structure, as listed in Alexandria. Values from VASP.

Quantum ESPRESSO input file:
```
&SYSTEM
  ibrav = 0, nat = 11, ntyp = 3
/
ATOMIC_SPECIES
Pd 106.42 Pd.upf
Tm 168.93 Tm.upf
Os 190.23 Os.upf
CELL_PARAMETERS angstrom
5.005 0.000 0.000
0.000 6.710 0.137
-2.502 -2.714 8.050
ATOMIC_POSITIONS crystal
Pd 0.186 0.708 0.373
Tm 0.969 0.204 0.938
Tm 0.591 0.437 0.183
Pd 0.814 0.292 0.627
Tm 0.800 0.690 0.600
Tm 0.031 0.796 0.062
Tm 0.335 0.033 0.671
Tm 0.665 0.967 0.329
Tm 0.200 0.310 0.400
Tm 0.409 0.563 0.817
Os 0.500 0.000 0.000
```

The relative energy among the computed polymorphs is 0.00 eV/f.u.